Nd2Zn4Ge3Au: relaxed, PBE.

Computed properties:
The final energy comes out at -36.40 eV per cell. The calculation puts the formation energy at -0.46 eV/atom.

```
data_Nd2Zn4Ge3Au
_cell_length_a 4.266
_cell_length_b 4.266
_cell_length_c 10.762
_cell_angle_alpha 90.00
_cell_angle_beta 90.00
_cell_angle_gamma 90.00
_symmetry_space_group_name_H-M 'P -4 m 2'
_symmetry_Int_Tables_number 115
_symmetry_space_group_name_Hall 'P -4 -2'
loop_
_atom_site_label
_atom_site_fract_x
_atom_site_fract_y
_atom_site_fract_z
Nd1 0.000 0.500 0.250
Zn1 0.000 0.000 0.000
Zn2 0.000 0.500 0.636
Zn3 0.500 0.500 0.000
Ge1 0.000 0.500 0.862
Ge2 0.500 0.500 0.500
Au1 0.000 0.000 0.500
```

---

NdZn2GeAu2: relaxed, PBE.

Computed properties:
The final energy comes out at -19.42 eV per cell. The calculation puts the formation energy at -0.16 eV/atom.

```
data_NdZn2GeAu2
_cell_length_a 4.714
_cell_length_b 4.714
_cell_length_c 5.827
_cell_angle_alpha 90.00
_cell_angle_beta 90.00
_cell_angle_gamma 90.00
_symmetry_space_group_name_H-M 'P 4/m m m'
_symmetry_Int_Tables_number 123
_symmetry_space_group_name_Hall '-P 4 2'
loop_
_atom_site_label
_atom_site_fract_x
_atom_site_fract_y
_atom_site_fract_z
Nd1 0.000 0.000 0.000
Zn1 0.000 0.500 0.500
Ge1 0.000 0.000 0.500
Au1 0.500 0.500 0.235
```

---

Nd2ZnGe4Au3: relaxed, PBE.

Computed properties:
The final energy comes out at -44.36 eV per cell. The calculation puts the formation energy at -0.53 eV/atom.

```
data_Nd2ZnGe4Au3
_cell_length_a 4.314
_cell_length_b 4.314
_cell_length_c 11.142
_cell_angle_alpha 90.00
_cell_angle_beta 90.00
_cell_angle_gamma 90.00
_symmetry_space_group_name_H-M 'P -4 m 2'
_symmetry_Int_Tables_number 115
_symmetry_space_group_name_Hall 'P -4 -2'
loop_
_atom_site_label
_atom_site_fract_x
_atom_site_fract_y
_atom_site_fract_z
Nd1 0.000 0.500 0.240
Zn1 0.500 0.500 0.000
Ge1 0.000 0.000 0.500
Ge2 0.000 0.500 0.866
Ge3 0.500 0.500 0.500
Au1 0.000 0.000 0.000
Au2 0.000 0.500 0.641
```

---

NiGeAu: relaxed, PBE.

Computed properties:
The final energy comes out at -54.66 eV per cell. The calculation puts the formation energy at 0.00 eV/atom.

```
data_NiGeAu
_cell_length_a 5.862
_cell_length_b 5.862
_cell_length_c 5.862
_cell_angle_alpha 90.00
_cell_angle_beta 90.00
_cell_angle_gamma 90.00
_symmetry_space_group_name_H-M 'F -4 3 m'
_symmetry_Int_Tables_number 216
_symmetry_space_group_name_Hall 'F -4 2 3'
loop_
_atom_site_label
_atom_site_fract_x
_atom_site_fract_y
_atom_site_fract_z
Ni1 0.000 0.000 0.000
Ge1 0.250 0.250 0.750
Au1 0.250 0.250 0.250
```

---

NiGe3Au: relaxed, PBE.

Computed properties:
The final energy comes out at -17.68 eV per cell. The calculation puts the formation energy at 1.05 eV/atom.

```
data_NiGe3Au
_cell_length_a 4.964
_cell_length_b 4.964
_cell_length_c 4.964
_cell_angle_alpha 90.00
_cell_angle_beta 90.00
_cell_angle_gamma 90.00
_symmetry_space_group_name_H-M 'P m -3 m'
_symmetry_Int_Tables_number 221
_symmetry_space_group_name_Hall '-P 4 2 3'
loop_
_atom_site_label
_atom_site_fract_x
_atom_site_fract_y
_atom_site_fract_z
Ni1 0.000 0.000 0.000
Ge1 0.000 0.500 0.500
Au1 0.500 0.500 0.500
```

---

Ni3GeAu: relaxed, PBE.

Computed properties:
The final energy comes out at -19.08 eV per cell. The calculation puts the formation energy at 1.23 eV/atom.

```
data_Ni3GeAu
_cell_length_a 4.663
_cell_length_b 4.663
_cell_length_c 4.663
_cell_angle_alpha 90.00
_cell_angle_beta 90.00
_cell_angle_gamma 90.00
_symmetry_space_group_name_H-M 'P m -3 m'
_symmetry_Int_Tables_number 221
_symmetry_space_group_name_Hall '-P 4 2 3'
loop_
_atom_site_label
_atom_site_fract_x
_atom_site_fract_y
_atom_site_fract_z
Ni1 0.000 0.000 0.500
Ge1 0.500 0.500 0.500
Au1 0.000 0.000 0.000
```

---

NiGeAu: relaxed, PBE.

Computed properties:
The final energy comes out at -27.40 eV per cell. The calculation puts the formation energy at -0.01 eV/atom.

```
data_NiGeAu
_cell_length_a 3.156
_cell_length_b 3.156
_cell_length_c 9.143
_cell_angle_alpha 90.00
_cell_angle_beta 90.00
_cell_angle_gamma 90.00
_symmetry_space_group_name_H-M 'I 4 m m'
_symmetry_Int_Tables_number 107
_symmetry_space_group_name_Hall 'I 4 -2'
loop_
_atom_site_label
_atom_site_fract_x
_atom_site_fract_y
_atom_site_fract_z
Ni1 0.000 0.000 0.000
Ge1 0.000 0.000 0.614
Au1 0.000 0.000 0.312
```

---

Ni2GeAu2: relaxed, PBE.

Computed properties:
The final energy comes out at -45.73 eV per cell. The calculation puts the formation energy at -0.03 eV/atom.

```
data_Ni2GeAu2
_cell_length_a 6.083
_cell_length_b 6.083
_cell_length_c 4.104
_cell_angle_alpha 90.00
_cell_angle_beta 90.00
_cell_angle_gamma 90.00
_symmetry_space_group_name_H-M 'P 4/m b m'
_symmetry_Int_Tables_number 127
_symmetry_space_group_name_Hall '-P 4 2ab'
loop_
_atom_site_label
_atom_site_fract_x
_atom_site_fract_y
_atom_site_fract_z
Ni1 0.140 0.360 0.000
Ge1 0.000 0.000 0.000
Au1 0.165 0.665 0.500
```

---

Ni3GeAu: relaxed, PBE.

Computed properties:
The final energy comes out at -22.51 eV per cell. The calculation puts the formation energy at 0.55 eV/atom.

```
data_Ni3GeAu
_cell_length_a 4.315
_cell_length_b 4.315
_cell_length_c 4.315
_cell_angle_alpha 90.00
_cell_angle_beta 90.00
_cell_angle_gamma 90.00
_symmetry_space_group_name_H-M 'P m -3 m'
_symmetry_Int_Tables_number 221
_symmetry_space_group_name_Hall '-P 4 2 3'
loop_
_atom_site_label
_atom_site_fract_x
_atom_site_fract_y
_atom_site_fract_z
Ni1 0.000 0.000 0.500
Ge1 0.000 0.000 0.000
Au1 0.500 0.500 0.500
```

---

Ni2Ge2Au: relaxed, PBE.

Computed properties:
The final energy comes out at -49.09 eV per cell. The calculation puts the formation energy at -0.09 eV/atom.

```
data_Ni2Ge2Au
_cell_length_a 6.923
_cell_length_b 6.923
_cell_length_c 3.004
_cell_angle_alpha 90.00
_cell_angle_beta 90.00
_cell_angle_gamma 90.00
_symmetry_space_group_name_H-M 'P 4/m b m'
_symmetry_Int_Tables_number 127
_symmetry_space_group_name_Hall '-P 4 2ab'
loop_
_atom_site_label
_atom_site_fract_x
_atom_site_fract_y
_atom_site_fract_z
Ni1 0.134 0.366 0.000
Ge1 0.161 0.661 0.500
Au1 0.000 0.000 0.000
```

---

Ni2GeAu2: relaxed, PBE.

Computed properties:
The final energy comes out at -43.37 eV per cell. The calculation puts the formation energy at 0.21 eV/atom.

```
data_Ni2GeAu2
_cell_length_a 7.483
_cell_length_b 7.483
_cell_length_c 2.852
_cell_angle_alpha 90.00
_cell_angle_beta 90.00
_cell_angle_gamma 90.00
_symmetry_space_group_name_H-M 'P 4/m b m'
_symmetry_Int_Tables_number 127
_symmetry_space_group_name_Hall '-P 4 2ab'
loop_
_atom_site_label
_atom_site_fract_x
_atom_site_fract_y
_atom_site_fract_z
Ni1 0.120 0.380 0.000
Ge1 0.000 0.000 0.500
Au1 0.173 0.673 0.500
```

---

Ni2Ge2Au: relaxed, PBE.

Computed properties:
The final energy comes out at -47.88 eV per cell. The calculation puts the formation energy at 0.03 eV/atom.

```
data_Ni2Ge2Au
_cell_length_a 3.861
_cell_length_b 3.861
_cell_length_c 10.370
_cell_angle_alpha 90.00
_cell_angle_beta 90.00
_cell_angle_gamma 90.00
_symmetry_space_group_name_H-M 'I 4/m m m'
_symmetry_Int_Tables_number 139
_symmetry_space_group_name_Hall '-I 4 2'
loop_
_atom_site_label
_atom_site_fract_x
_atom_site_fract_y
_atom_site_fract_z
Ni1 0.000 0.500 0.250
Ge1 0.000 0.000 0.116
Au1 0.000 0.000 0.500
```

---

Ni2Ge2Au: relaxed, PBE.

Computed properties:
The final energy comes out at -47.84 eV per cell. The calculation puts the formation energy at 0.03 eV/atom.

```
data_Ni2Ge2Au
_cell_length_a 3.713
_cell_length_b 3.713
_cell_length_c 11.024
_cell_angle_alpha 90.00
_cell_angle_beta 90.00
_cell_angle_gamma 90.00
_symmetry_space_group_name_H-M 'I 4/m m m'
_symmetry_Int_Tables_number 139
_symmetry_space_group_name_Hall '-I 4 2'
loop_
_atom_site_label
_atom_site_fract_x
_atom_site_fract_y
_atom_site_fract_z
Ni1 0.000 0.000 0.110
Ge1 0.000 0.500 0.250
Au1 0.000 0.000 0.500
```

---

NiGe3Au: relaxed, PBE.

Computed properties:
The final energy comes out at -21.83 eV per cell. The calculation puts the formation energy at 0.22 eV/atom.

```
data_NiGe3Au
_cell_length_a 4.596
_cell_length_b 4.596
_cell_length_c 4.596
_cell_angle_alpha 90.00
_cell_angle_beta 90.00
_cell_angle_gamma 90.00
_symmetry_space_group_name_H-M 'P m -3 m'
_symmetry_Int_Tables_number 221
_symmetry_space_group_name_Hall '-P 4 2 3'
loop_
_atom_site_label
_atom_site_fract_x
_atom_site_fract_y
_atom_site_fract_z
Ni1 0.000 0.000 0.000
Ge1 0.000 0.000 0.500
Au1 0.500 0.500 0.500
```

---

NiGeAu3: relaxed, PBE.

Computed properties:
The final energy comes out at -16.97 eV per cell. The calculation puts the formation energy at 0.65 eV/atom.

```
data_NiGeAu3
_cell_length_a 4.765
_cell_length_b 4.765
_cell_length_c 4.765
_cell_angle_alpha 90.00
_cell_angle_beta 90.00
_cell_angle_gamma 90.00
_symmetry_space_group_name_H-M 'P m -3 m'
_symmetry_Int_Tables_number 221
_symmetry_space_group_name_Hall '-P 4 2 3'
loop_
_atom_site_label
_atom_site_fract_x
_atom_site_fract_y
_atom_site_fract_z
Ni1 0.000 0.000 0.000
Ge1 0.500 0.500 0.500
Au1 0.000 0.000 0.500
```

---

Np2Ni4Ge3Au: relaxed, PBE.

Computed properties:
The final energy comes out at -68.90 eV per cell. The calculation puts the formation energy at -0.28 eV/atom.

```
data_Np2Ni4Ge3Au
_cell_length_a 3.929
_cell_length_b 3.929
_cell_length_c 10.725
_cell_angle_alpha 90.00
_cell_angle_beta 90.00
_cell_angle_gamma 90.00
_symmetry_space_group_name_H-M 'P -4 m 2'
_symmetry_Int_Tables_number 115
_symmetry_space_group_name_Hall 'P -4 -2'
loop_
_atom_site_label
_atom_site_fract_x
_atom_site_fract_y
_atom_site_fract_z
Np1 0.000 0.500 0.249
Ni1 0.000 0.000 0.000
Ni2 0.000 0.500 0.658
Ni3 0.500 0.500 0.000
Ge1 0.000 0.500 0.876
Ge2 0.500 0.500 0.500
Au1 0.000 0.000 0.500
```